InRhCl2 | GGA-PBE | relaxed

Cell: 3.249 5.498 4.375 Å, 90.00 90.00 90.00°
Atoms (fractional coordinates):
Rh1 0.000 0.500 0.500
Cl1 0.000 0.000 0.000
Cl2 0.500 0.500 0.000
In1 0.500 0.000 0.500

Summary:
energy above the lowest structure with this stoichiometry: 183 kJ/mol of formula units
DOS at the Fermi energy: 2.6 states/eV/cell
formation energy (no corrections): 0.03 eV/atom
space-group type: Pmmm

---

NiH2Pd3 | GGA-PBE | relaxed

Cell: 2.865 6.228 7.427 Å, 85.09 78.88 76.70°
Atoms (fractional coordinates):
H1 0.892 0.391 0.825
H2 0.411 0.649 0.530
H3 0.589 0.351 0.470
H4 0.108 0.609 0.175
Pd1 0.308 0.314 0.069
Pd2 0.692 0.686 0.931
Pd3 0.942 0.929 0.186
Pd4 0.810 0.816 0.564
Pd5 0.190 0.184 0.436
Pd6 0.058 0.071 0.814
Ni1 0.437 0.434 0.692
Ni2 0.563 0.566 0.308

Summary:
DOS at the Fermi energy: 13.3 states/eV/cell
total energy: -0.3460 Ry/atom
space-group type: C2/m

---

Hf2Zn3Ga3 | GGA-PBE | relaxed

Cell: 4.097 4.030 8.007 Å, 90.00 90.00 90.00°
Atoms (fractional coordinates):
Zn1 0.500 0.500 0.242
Zn2 0.500 0.500 0.758
Zn3 0.500 0.000 0.000
Hf1 0.000 0.000 0.747
Hf2 0.000 0.000 0.253
Ga1 0.500 0.000 0.500
Ga2 0.000 0.500 0.500
Ga3 0.000 0.500 0.000

Summary:
energy of formation: -3.0 eV per formula unit
DOS at the Fermi energy: 3.0 states/eV/cell
space-group type: Pmmm

---

Li3Be2O4 | GGA-PBE | relaxed

Cell: 2.717 5.118 7.583 Å, 130.36 90.00 105.39°
Last column: magnetic moment on the atom in μB.
Atoms (fractional coordinates):
O1 0.713 0.425 0.151  0.37
O2 0.893 0.785 0.653  0.05
O3 0.107 0.215 0.347  0.05
O4 0.287 0.575 0.849  0.37
Be1 0.711 0.421 0.358  -0.01
Be2 0.289 0.579 0.642  -0.01
Li1 0.000 0.000 0.000  0.00
Li2 0.610 0.220 0.801  0.00
Li3 0.390 0.780 0.199  0.00

Summary:
DOS at the Fermi energy: 2.9 states/eV/cell
formation energy (no corrections): -2.08 eV/atom
space-group type: C2/m

---

KHgPt | GGA-PBE | relaxed

Cell: 6.309 6.516 8.605 Å, 113.23 90.00 90.00°
Atoms (fractional coordinates):
K1 0.603 0.707 0.383
K2 0.103 0.793 0.117
K3 0.397 0.293 0.617
K4 0.897 0.207 0.883
Pt1 0.418 0.348 0.042
Pt2 0.082 0.848 0.542
Pt3 0.582 0.652 0.958
Pt4 0.918 0.152 0.458
Hg1 0.872 0.604 0.700
Hg2 0.128 0.396 0.300
Hg3 0.628 0.104 0.200
Hg4 0.372 0.896 0.800

Summary:
energy above the lowest structure with this stoichiometry: 9 kJ/mol of formula units
energy of formation: -0.5 eV per formula unit
DOS at the Fermi energy: 4.1 states/eV/cell
space-group type: P2_1/c

---

DyY8Er4 | GGA-PBE | relaxed

Cell: 7.260 7.260 10.064 Å, 90.00 111.14 120.00°
Atoms (fractional coordinates):
Er1 0.000 0.500 0.000
Er2 0.500 0.500 0.000
Er3 0.500 0.000 0.000
Er4 0.000 0.000 0.000
Y1 0.569 0.785 0.354
Y2 0.431 0.215 0.646
Y3 0.951 0.750 0.701
Y4 0.500 0.750 0.701
Y5 0.951 0.201 0.701
Y6 0.049 0.250 0.299
Y7 0.049 0.799 0.299
Y8 0.500 0.250 0.299
Dy1 0.000 0.500 0.500

Summary:
energy of formation: 2.9 eV per formula unit
DOS at the Fermi energy: 17.1 states/eV/cell
space-group type: R-3m